# 1
Compound: CsCd11
Source: the Alexandria database
Functional: PBE
Structure: optimized geometry

Cell lengths 7.987, 9.602, 9.602 Å; angles 80.04, 65.42, 65.42 degrees
Positions (direct):
Cs (0.500, 0.000, 0.000)
Cs (0.250, 0.500, 0.500)
Cd (0.433, 0.828, 0.415)
Cd (0.676, 0.172, 0.585)
Cd (0.000, 0.000, 0.000)
Cd (0.750, 0.500, 0.500)
Cd (0.375, 0.750, 0.750)
Cd (0.875, 0.750, 0.250)
Cd (0.875, 0.250, 0.750)
Cd (0.875, 0.250, 0.250)
Cd (0.433, 0.415, 0.828)
Cd (0.011, 0.672, 0.915)
Cd (0.598, 0.328, 0.085)
Cd (0.676, 0.585, 0.172)
Cd (0.739, 0.585, 0.828)
Cd (0.152, 0.415, 0.172)
Cd (0.074, 0.328, 0.915)
Cd (0.317, 0.672, 0.085)
Cd (0.317, 0.085, 0.672)
Cd (0.739, 0.828, 0.585)
Cd (0.152, 0.172, 0.415)
Cd (0.074, 0.915, 0.328)
Cd (0.011, 0.915, 0.672)
Cd (0.598, 0.085, 0.328)

density = 7.467 g cm⁻³
calculated total energy = -0.97 eV/atom
total moment = 0.00 μB/atom
ΔE_f = -0.06 eV per atom

***

# 2
Compound: KYTe
Source: the Alexandria database
Functional: PBE
Structure: optimized geometry

Cell lengths 5.322, 5.322, 5.322 Å; angles 60.00, 60.00, 60.00 degrees
Positions (direct):
K (0.500, 0.500, 0.500)
Te (0.750, 0.750, 0.750)
Y (0.000, 0.000, 0.000)

density = 3.981 g cm⁻³
calculated total energy = -3.91 eV/atom
total moment = 0.15 μB/atom
relative energy among the computed polymorphs = 0.451 eV/atom